VASP calculation (PBE-GGA) on a geometry-optimized PrGd2Hg structure.

Properties
As for the formation energy from the elements: -0.24 eV/atom. Its crystal system is tetragonal. The value obtained for the total energy is -8.5556 eV/atom. For the magnetic moment, the calculation gives 14.93 μB per formula unit.

a b c (Å): 3.6810 3.6810 8.9931
angles (deg): 90.00 90.00 90.00
Closest atoms and distances in Å follow each position.
Atoms (fractional coordinates):
Pr1 0.0000 0.0000 0.0000  8 Gd 3.64, 4 Pr 3.68
Gd1 0.5000 0.5000 0.2833  4 Hg 3.25
Gd2 0.5000 0.5000 0.7167  4 Hg 3.25
Hg1 0.0000 0.0000 0.5000  8 Gd 3.25